Record 1
# LaHoMg4 GGA-PBE optimized geometry
data_LaHoMg4
_chemical_formula_sum 'La4 Ho4 Mg16'
_symmetry_space_group_name_H-M 'F -4 3 m'
_symmetry_Int_Tables_number 216
_symmetry_space_group_name_Hall 'F -4 2 3'
_cell_length_a 8.641
_cell_length_b 8.641
_cell_length_c 8.641
_cell_angle_alpha 90.00
_cell_angle_beta 90.00
_cell_angle_gamma 90.00
loop_
_atom_site_label
_atom_site_type_symbol
_atom_site_fract_x
_atom_site_fract_y
_atom_site_fract_z
_atom_site_occupancy
La1 La 0.000 0.000 0.000 1
Ho1 Ho 0.250 0.250 0.750 1
Mg1 Mg 0.125 0.125 0.375 1
# energy of formation from the pure elements	-0.09	eV per atom

=====

Record 2
# OsBr2F GGA-PBE optimized geometry
data_OsBr2F
_chemical_formula_sum 'Os4 Br8 F4'
_symmetry_space_group_name_H-M 'I -4 2 d'
_symmetry_Int_Tables_number 122
_symmetry_space_group_name_Hall 'I -4 2bw'
_cell_length_a 6.590
_cell_length_b 6.590
_cell_length_c 8.294
_cell_angle_alpha 90.00
_cell_angle_beta 90.00
_cell_angle_gamma 90.00
loop_
_atom_site_label
_atom_site_type_symbol
_atom_site_fract_x
_atom_site_fract_y
_atom_site_fract_z
_atom_site_occupancy
Os1 Os 0.000 0.000 0.000 1
Br1 Br 0.209 0.750 0.125 1
F1 F 0.000 0.000 0.500 1
# formation energy (no corrections)	0.255	eV/atom
# polymorph energy (0 for the lowest one)	649	meV/atom

=====

| no. | uncorrected energy (eV/atom) | DOS(E_F) (states/eV/cell) |
| --- | --- | --- |
| 1 | -2.7412 | 21.13 |
| 2 | -3.8562 | 19.06 |